No. 1
This record from Alexandria via LeMat-Bulk describes an optimized crystal structure of Pm4GeBiS2. The functional is PBE-GGA.

Values from the calculation:
V	27.1	Å³/atom
raw formation energy	-1.4330	eV per atom
theoretical density	7.1	g/cm³
energy	-5.903	eV/atom
magnetization	0.000	μB per atom

Structure (CIF):
```
data_Pm4GeBiS2
_symmetry_space_group_name_H-M 'P 1 2/m 1'
_symmetry_Int_Tables_number 10
_symmetry_space_group_name_Hall '-P 2y'
_cell_length_a 7.293
_cell_length_b 4.245
_cell_length_c 7.423
_cell_angle_alpha 90.00
_cell_angle_beta 109.53
_cell_angle_gamma 90.00
loop_
_atom_site_label
_atom_site_type_symbol
_atom_site_fract_x
_atom_site_fract_y
_atom_site_fract_z
Pm1 Pm 0.234 0.000 0.230
Pm2 Pm 0.243 0.500 0.759
Ge1 Ge 0.500 0.000 0.000
Bi1 Bi 0.500 0.500 0.500
S1 S 0.000 0.000 0.500
S2 S 0.000 0.500 0.000
```



No. 2
This record from Alexandria via LeMat-Bulk describes an optimized crystal structure of Pm6Ge3BiSe2. The functional is PBE-GGA.

Values from the calculation:
V	28.2	Å³/atom
raw formation energy	-1.1953	eV per atom
theoretical density	7.1	g/cm³
energy	-5.629	eV/atom
magnetization	0.000	μB per atom

Structure (CIF):
```
data_Pm6Ge3BiSe2
_symmetry_space_group_name_H-M 'C 1 2/m 1'
_symmetry_Int_Tables_number 12
_symmetry_space_group_name_Hall '-C 2y'
_cell_length_a 18.817
_cell_length_b 4.271
_cell_length_c 8.690
_cell_angle_alpha 90.00
_cell_angle_beta 103.89
_cell_angle_gamma 90.00
loop_
_atom_site_label
_atom_site_type_symbol
_atom_site_fract_x
_atom_site_fract_y
_atom_site_fract_z
Pm1 Pm 0.000 0.000 0.234
Pm2 Pm 0.165 0.500 0.089
Pm3 Pm 0.174 0.500 0.583
Ge1 Ge 0.000 0.500 0.000
Ge2 Ge 0.166 0.000 0.332
Bi1 Bi 0.000 0.500 0.500
Se1 Se 0.168 0.000 0.836
```



No. 3
This record from Alexandria via LeMat-Bulk describes an optimized crystal structure of Pm6Ge2BiSe3. The functional is PBE-GGA.

Values from the calculation:
V	28.2	Å³/atom
raw formation energy	-1.3993	eV per atom
theoretical density	7.2	g/cm³
energy	-5.739	eV/atom
magnetization	0.000	μB per atom

Structure (CIF):
```
data_Pm6Ge2BiSe3
_symmetry_space_group_name_H-M 'C 1 2/m 1'
_symmetry_Int_Tables_number 12
_symmetry_space_group_name_Hall '-C 2y'
_cell_length_a 18.707
_cell_length_b 4.302
_cell_length_c 8.627
_cell_angle_alpha 90.00
_cell_angle_beta 102.68
_cell_angle_gamma 90.00
loop_
_atom_site_label
_atom_site_type_symbol
_atom_site_fract_x
_atom_site_fract_y
_atom_site_fract_z
Pm1 Pm 0.005 0.000 0.264
Pm2 Pm 0.170 0.500 0.578
Pm3 Pm 0.172 0.500 0.099
Ge1 Ge 0.167 0.000 0.335
Bi1 Bi 0.000 0.500 0.000
Se1 Se 0.000 0.500 0.500
Se2 Se 0.164 0.000 0.834
```